# 1
# Li3MgCu2, relaxed, DFT GGA-PBE
data_Li3MgCu2
_chemical_formula_sum 'Li6 Mg2 Cu4'
_cell_length_a 7.3518
_cell_length_b 7.3518
_cell_length_c 7.9746
_cell_angle_alpha 122.13
_cell_angle_beta 122.13
_cell_angle_gamma 30.45
_space_group_name_H-M_alt 'P 1'
_space_group_IT_number 1
_space_group_name_Hall 'P 1'
loop_
_atom_site_label
_atom_site_fract_x
_atom_site_fract_y
_atom_site_fract_z
Li1 0.0911 0.0911 0.4584
Li2 0.2482 0.2482 0.3706
Li3 0.4081 0.4081 0.2822
Li4 0.5919 0.5919 0.7178
Li5 0.7518 0.7518 0.6294
Li6 0.9089 0.9089 0.5416
Mg1 0.0888 0.0888 0.9610
Mg2 0.9112 0.9112 0.0390
Cu1 0.2511 0.2511 0.8793
Cu2 0.4134 0.4134 0.8005
Cu3 0.5866 0.5866 0.1995
Cu4 0.7489 0.7489 0.1207
# calculated volume = 15.2 A^3/atom
# uncorrected energy = -31.4 eV per cell
# total moment = 0.0 μB/cell


# 2
# Li12MgCu6, relaxed, DFT GGA-PBE
data_Li12MgCu6
_chemical_formula_sum 'Li12 Mg1 Cu6'
_cell_length_a 6.6973
_cell_length_b 6.6973
_cell_length_c 6.6973
_cell_angle_alpha 88.33
_cell_angle_beta 88.33
_cell_angle_gamma 88.33
_space_group_name_H-M_alt 'P 1'
_space_group_IT_number 1
_space_group_name_Hall 'P 1'
loop_
_atom_site_label
_atom_site_fract_x
_atom_site_fract_y
_atom_site_fract_z
Li1 0.0242 0.9218 0.3070
Li2 0.0782 0.6930 0.9758
Li3 0.1093 0.4709 0.3412
Li4 0.3070 0.0242 0.9218
Li5 0.3412 0.1093 0.4709
Li6 0.4709 0.3412 0.1093
Li7 0.5291 0.6588 0.8907
Li8 0.6588 0.8907 0.5291
Li9 0.6930 0.9758 0.0782
Li10 0.8907 0.5291 0.6588
Li11 0.9218 0.3070 0.0242
Li12 0.9758 0.0782 0.6930
Mg1 0.5000 0.5000 0.5000
Cu1 0.2263 0.7537 0.6107
Cu2 0.2463 0.3893 0.7737
Cu3 0.3893 0.7737 0.2463
Cu4 0.6107 0.2263 0.7537
Cu5 0.7537 0.6107 0.2263
Cu6 0.7737 0.2463 0.3893
# calculated volume = 15.8 A^3/atom
# uncorrected energy = -49.0 eV per cell
# total moment = 0.0 μB/cell


# 3
# LiMg3Cu, relaxed, DFT GGA-PBE
data_LiMg3Cu
_chemical_formula_sum 'Li1 Mg3 Cu1'
_cell_length_a 4.9296
_cell_length_b 4.9296
_cell_length_c 4.9296
_cell_angle_alpha 90.00
_cell_angle_beta 90.00
_cell_angle_gamma 90.00
_space_group_name_H-M_alt 'P 1'
_space_group_IT_number 1
_space_group_name_Hall 'P 1'
loop_
_atom_site_label
_atom_site_fract_x
_atom_site_fract_y
_atom_site_fract_z
Li1 0.0000 0.0000 0.0000
Mg1 0.0000 0.5000 0.5000
Mg2 0.5000 0.0000 0.5000
Mg3 0.5000 0.5000 0.0000
Cu1 0.5000 0.5000 0.5000
# calculated volume = 24.0 A^3/atom
# uncorrected energy = -10.2 eV per cell
# total moment = 0.0 μB/cell


# 4
# Li2MgCu, relaxed, DFT GGA-PBE
data_Li2MgCu
_chemical_formula_sum 'Li2 Mg1 Cu1'
_cell_length_a 5.0110
_cell_length_b 5.0110
_cell_length_c 5.0110
_cell_angle_alpha 133.65
_cell_angle_beta 133.65
_cell_angle_gamma 67.63
_space_group_name_H-M_alt 'P 1'
_space_group_IT_number 1
_space_group_name_Hall 'P 1'
loop_
_atom_site_label
_atom_site_fract_x
_atom_site_fract_y
_atom_site_fract_z
Li1 0.2500 0.7500 0.5000
Li2 0.7500 0.2500 0.5000
Mg1 0.0000 0.0000 0.0000
Cu1 0.5000 0.5000 0.0000
# calculated volume = 16.2 A^3/atom
# uncorrected energy = -9.6 eV per cell
# total moment = 0.0 μB/cell